VASP calculation (PBE-GGA) on a relaxed AlCo2Au crystal.

Cell and atoms, written as extended XYZ:
```
4
Lattice="4.305 -1.402 0.000 4.305 1.402 0.000 -0.991 0.000 4.457" Properties=species:S:1:pos:R:3 pbc="T T T"
Al 0.000 0.000 0.000
Co 3.717 0.000 1.987
Co 6.160 0.000 1.131
Au 1.355 0.000 3.303
```

Computed properties:
The calculation puts the formation energy at -0.074 eV/atom. Its volume is 13.5 Å³/atom. As for the calculated density: 10.55 g/cm³.